Entry 1:
Entry from Alexandria: B2HRh6 after structural relaxation (PBE).

Cell: 2.821 6.577 6.577 Å, 120.00 90.00 90.00°
Fractional positions:
Rh 0.741 0.719 0.116
B 0.245 0.667 0.333
B 0.755 0.333 0.667
Rh 0.259 0.281 0.884
Rh 0.741 0.397 0.281
Rh 0.741 0.884 0.603
Rh 0.259 0.603 0.719
H 0.500 0.000 0.000
Rh 0.259 0.116 0.397

Calculated values
total energy	-6.736	eV per atom
SG	No. 147

Entry 2:
Entry from Alexandria: K5U2I12 after structural relaxation (PBE).

Cell: 9.203 10.970 11.365 Å, 109.76 90.00 114.80°
Fractional positions:
I 0.518 0.036 0.200
I 0.582 0.681 0.941
I 0.393 0.283 0.556
U 0.252 0.000 0.000
I 0.024 0.047 0.195
I 0.110 0.717 0.444
I 0.901 0.319 0.059
K 0.676 0.352 0.794
I 0.482 0.964 0.800
U 0.748 0.000 0.000
I 0.976 0.953 0.805
I 0.890 0.283 0.556
I 0.607 0.717 0.444
K 0.000 0.000 0.500
I 0.418 0.319 0.059
K 0.324 0.648 0.206
K 0.723 0.446 0.411
K 0.277 0.554 0.589
I 0.099 0.681 0.941

Calculated values
total energy	-3.577	eV per atom
SG	No. 12
raw formation energy	-21.30	eV/f.u.

Entry 3:
Entry from Alexandria: TiTe2Ru after structural relaxation (PBE).

Cell: 9.150 9.150 9.150 Å, 21.15 21.15 21.15°
Fractional positions:
Te 0.094 0.094 0.094
Te 0.906 0.906 0.906
Ti 0.500 0.500 0.500
Ru 0.000 0.000 0.000

Calculated values
total energy	-5.691	eV per atom
polymorph energy (0 for the lowest one)	211	meV per atom
SG	No. 166
raw formation energy	0.69	eV/f.u.

- What is the formula in the second record?
  K5U2I12

- total energy of number 1 (B2HRh6)?
  -6.736 eV per atom